DFT (PBE-GGA) results for an optimized crystal structure of GaW3Au.

Values from the calculation:
**E_form**: 2.6534 eV per atom
**Size of the total moment**: 0.00 μB/f.u.
**SG**: No. 221
**E_tot**: -31.9 eV for the cell shown
**Volume**: 114.4 Å³/f.u.

abc: 4.854 4.854 4.854
angles: 90.00 90.00 90.00
Atoms (fractional coordinates):
Ga 0.000 0.000 0.000
W 0.000 0.500 0.500
W 0.500 0.000 0.500
W 0.500 0.500 0.000
Au 0.500 0.500 0.500